PBE-GGA Li3NdTl3, optimized geometry; space-group type = Pm-3n (223); ΔE_f = 131 meV per atom; uncorrected energy = -2.385 eV/atom; N(E_F) = 0.5095 states/eV/atom
1.0
7.162 0.000 0.000
0.000 7.162 0.000
0.000 0.000 7.162
Li Nd Tl
6 2 6
direct
0.000 0.250 0.500
0.000 0.750 0.500
0.250 0.500 0.000
0.500 0.000 0.250
0.500 0.000 0.750
0.750 0.500 0.000
0.000 0.000 0.000
0.500 0.500 0.500
0.000 0.500 0.250
0.000 0.500 0.750
0.250 0.000 0.500
0.500 0.250 0.000
0.500 0.750 0.000
0.750 0.000 0.500

---

PBE-GGA LiNdTm2Tl4, optimized geometry; space-group type = R-3m (166); ΔE_f = -310 meV per atom; uncorrected energy = -3.446 eV/atom; N(E_F) = 0.5343 states/eV/atom
1.0
2.622 1.514 8.898
-2.622 1.514 8.898
0.000 -3.027 8.898
Li Nd Tm Tl
1 1 2 4
direct
0.000 0.000 0.000
0.500 0.500 0.500
0.254 0.254 0.254
0.746 0.746 0.746
0.120 0.120 0.120
0.371 0.371 0.371
0.629 0.629 0.629
0.880 0.880 0.880

---

PBE-GGA Li2NdTm2Tl2, optimized geometry; space-group type = R-3m (166); ΔE_f = -177 meV per atom; uncorrected energy = -3.358 eV/atom; N(E_F) = 0.7968 states/eV/atom
1.0
2.431 1.403 8.887
-2.431 1.403 8.887
0.000 -2.807 8.887
Li Nd Tm Tl
2 1 2 2
direct
0.093 0.093 0.093
0.907 0.907 0.907
0.500 0.500 0.500
0.371 0.371 0.371
0.629 0.629 0.629
0.242 0.242 0.242
0.758 0.758 0.758

---

PBE-GGA LiNdYTl, optimized geometry; space-group type = F-43m (216); ΔE_f = -216 meV per atom; uncorrected energy = -4.094 eV/atom; N(E_F) = 1.0601 states/eV/atom
1.0
0.000 3.804 3.804
3.804 0.000 3.804
3.804 3.804 0.000
Li Nd Y Tl
1 1 1 1
direct
0.000 0.000 0.000
0.250 0.250 0.250
0.750 0.750 0.750
0.500 0.500 0.500

---

PBE-GGA Li2NdYTl4, optimized geometry; space-group type = R-3m (166); ΔE_f = -329 meV per atom; uncorrected energy = -3.395 eV/atom; N(E_F) = 0.2176 states/eV/atom
1.0
2.621 1.513 8.551
-2.621 1.513 8.551
0.000 -3.027 8.551
Li Nd Y Tl
2 1 1 4
direct
0.249 0.249 0.249
0.751 0.751 0.751
0.000 0.000 0.000
0.500 0.500 0.500
0.127 0.127 0.127
0.377 0.377 0.377
0.623 0.623 0.623
0.873 0.873 0.873

---

PBE-GGA LiNd2Tm, optimized geometry; space-group type = P3m1 (156); ΔE_f = 116 meV per atom; uncorrected energy = -3.865 eV/atom; N(E_F) = 1.0268 states/eV/atom
1.0
3.534 0.000 0.000
-1.767 3.061 0.000
0.000 0.000 11.871
Li Nd Tm
1 2 1
direct
0.000 0.000 0.000
0.000 0.000 0.724
0.667 0.333 0.241
0.333 0.667 0.484

---

PBE-GGA LiNd2Tm, optimized geometry; space-group type = Fm-3m (225); ΔE_f = 146 meV per atom; uncorrected energy = -3.834 eV/atom; N(E_F) = 1.2021 states/eV/atom
1.0
0.000 3.938 3.938
3.938 0.000 3.938
3.938 3.938 0.000
Li Nd Tm
1 2 1
direct
0.000 0.000 0.000
0.250 0.250 0.250
0.750 0.750 0.750
0.500 0.500 0.500

---

PBE-GGA LiNdTm2, optimized geometry; space-group type = R3m (160); ΔE_f = 134 meV per atom; uncorrected energy = -3.772 eV/atom; N(E_F) = 1.1296 states/eV/atom
1.0
1.751 1.011 11.200
-1.751 1.011 11.200
0.000 -2.022 11.200
Li Nd Tm
1 1 2
direct
0.000 0.000 0.000
0.167 0.167 0.167
0.413 0.413 0.413
0.587 0.587 0.587

---

PBE-GGA LiNd2Tm, optimized geometry; space-group type = P4/mmm (123); ΔE_f = 66 meV per atom; uncorrected energy = -3.914 eV/atom; N(E_F) = 1.4484 states/eV/atom
1.0
3.648 0.000 0.000
0.000 3.648 0.000
0.000 0.000 9.132
Li Nd Tm
1 2 1
direct
0.000 0.000 0.000
0.500 0.500 0.232
0.500 0.500 0.768
0.000 0.000 0.500

---

PBE-GGA LiNdTm2, optimized geometry; space-group type = P4/mmm (123); ΔE_f = 84 meV per atom; uncorrected energy = -3.823 eV/atom; N(E_F) = 1.3703 states/eV/atom
1.0
3.629 0.000 0.000
0.000 3.629 0.000
0.000 0.000 8.691
Li Nd Tm
1 1 2
direct
0.000 0.000 0.000
0.000 0.000 0.500
0.500 0.500 0.214
0.500 0.500 0.786

---

PBE-GGA LiNdTm2, optimized geometry; space-group type = P4/mmm (123); ΔE_f = 197 meV per atom; uncorrected energy = -3.709 eV/atom; N(E_F) = 1.5291 states/eV/atom
1.0
5.626 0.000 0.000
0.000 5.626 0.000
0.000 0.000 3.700
Li Nd Tm
1 1 2
direct
0.000 0.000 0.000
0.500 0.500 0.000
0.000 0.500 0.500
0.500 0.000 0.500

---

PBE-GGA LiNd2Tm, optimized geometry; space-group type = Cm (8); ΔE_f = 72 meV per atom; uncorrected energy = -3.909 eV/atom; N(E_F) = 0.8023 states/eV/atom
1.0
3.079 -1.775 0.000
3.079 1.775 0.000
-2.065 0.000 11.427
Li Nd Tm
1 2 1
direct
0.000 0.000 0.000
0.250 0.250 0.751
0.415 0.415 0.248
0.833 0.833 0.499

---

Number 1: V 367 Å³/cell. Number 2: V 212 Å³/cell. Number 3: V 182 Å³/cell. Number 4: V 110 Å³/cell. Number 5: V 204 Å³/cell. Number 6: V 128 Å³/cell. Number 7: V 122 Å³/cell. Number 8: V 119 Å³/cell. Number 9: V 122 Å³/cell. Number 10: V 114 Å³/cell. Number 11: V 117 Å³/cell. Number 12: V 125 Å³/cell.